## Na3Np2CuSe6 (PBE)

Data for a relaxed structure of Na3Np2CuSe6.

Formation energy from raw total energies in eV/atom: -0.989
Space-group type: C2/m

a = 7.0219 Å, b = 7.0219 Å, c = 7.3522 Å
α = 99.16°, β = 99.16°, γ = 119.98°
Positions (direct):
1 Na 0.0000 0.0000 0.0000
2 Na 0.3342 0.6658 0.0000
3 Na 0.6658 0.3342 0.0000
4 Np 0.1668 0.8332 0.5000
5 Np 0.8332 0.1668 0.5000
6 Cu 0.5000 0.5000 0.5000
7 Se 0.0968 0.4254 0.2764
8 Se 0.2455 0.2455 0.7237
9 Se 0.4254 0.0968 0.2764
10 Se 0.5746 0.9032 0.7236
11 Se 0.7545 0.7545 0.2763
12 Se 0.9032 0.5746 0.7236

***

## Na2NpO4 (PBE)

Data for a relaxed structure of Na2NpO4.

Formation energy from raw total energies in eV/atom: -2.442
Space-group type: Pbam

a = 5.7593 Å, b = 9.9033 Å, c = 3.4867 Å
α = 90.00°, β = 90.00°, γ = 90.00°
Positions (direct):
1 Na 0.0591 0.1838 0.0000
2 Na 0.4409 0.6838 0.0000
3 Na 0.5591 0.3162 0.0000
4 Na 0.9409 0.8162 0.0000
5 Np 0.0000 0.5000 0.5000
6 Np 0.5000 0.0000 0.5000
7 O 0.1400 0.6761 0.5000
8 O 0.2098 0.4473 0.0000
9 O 0.2902 0.9473 0.0000
10 O 0.3600 0.1761 0.5000
11 O 0.6400 0.8239 0.5000
12 O 0.7098 0.0527 0.0000
13 O 0.7902 0.5527 0.0000
14 O 0.8600 0.3239 0.5000

***

## Na2MnCoIr (PBE)

Data for a relaxed structure of Na2MnCoIr.

Space-group type: P4/mmm
DFT formation energy in eV per atom: 1.15

a = 4.7550 Å, b = 4.7550 Å, c = 4.4990 Å
α = 90.00°, β = 90.00°, γ = 90.00°
Positions (direct):
1 Na 0.0000 0.5000 0.0000
2 Na 0.5000 0.0000 0.0000
3 Mn 0.0000 0.0000 0.5000
4 Co 0.5000 0.5000 0.0000
5 Ir 0.5000 0.5000 0.5000

***

## Ac2HoThS4 (PBE)

Data for a relaxed structure of Ac2HoThS4.

Formation energy from raw total energies in eV/atom: -1.930
Space-group type: P2/m

a = 7.1383 Å, b = 4.0833 Å, c = 7.2364 Å
α = 90.00°, β = 108.82°, γ = 90.00°
Positions (direct):
1 Ac 0.0000 0.0000 0.0000
2 Ac 0.5000 0.5000 0.0000
3 Ho 0.0000 0.5000 0.5000
4 Th 0.5000 0.0000 0.5000
5 S 0.2332 0.0000 0.7217
6 S 0.2493 0.5000 0.2731
7 S 0.7507 0.5000 0.7269
8 S 0.7668 0.0000 0.2783

***

## ReNiBr2 (PBE)

Data for a relaxed structure of ReNiBr2.

Energy relative to the lowest polymorph listed for this composition in meV per atom: 485
Formation energy from raw total energies in eV/atom: 0.816
Space-group type: R-3m

a = 8.3414 Å, b = 8.3414 Å, c = 8.3414 Å
α = 22.27°, β = 22.27°, γ = 22.27°
Positions (direct):
1 Re 0.0000 0.0000 0.0000
2 Ni 0.5000 0.5000 0.5000
3 Br 0.0991 0.0991 0.0991
4 Br 0.9009 0.9009 0.9009

***

## Mn3TeOs (PBE)

Data for a relaxed structure of Mn3TeOs.

Energy relative to the lowest polymorph listed for this composition in meV per atom: 0
Formation energy from raw total energies in eV/atom: 0.994
Space-group type: Pm-3m

a = 4.7657 Å, b = 4.7657 Å, c = 4.7657 Å
α = 90.00°, β = 90.00°, γ = 90.00°
Positions (direct):
1 Mn 0.0000 0.0000 0.5000
2 Mn 0.0000 0.5000 0.0000
3 Mn 0.5000 0.0000 0.0000
4 Te 0.5000 0.5000 0.5000
5 Os 0.0000 0.0000 0.0000